Record 1
Material: DyEr3In
Method: DFT, PBE
State: optimized geometry

Calculated values
Its symmetry is Cmcm (63). Its density is 9.06 g cm⁻³. The density of states at the Fermi level is 1.25 states/eV per atom. The value obtained for the spin magnetization is 0.00 Bohr magnetons per cell. The formation energy is -0.18 eV/atom.

```
data_DyEr3In
_cell_length_a 12.7103
_cell_length_b 12.7103
_cell_length_c 4.7818
_cell_angle_alpha 90.00
_cell_angle_beta 90.00
_cell_angle_gamma 158.31
_symmetry_space_group_name_H-M 'P 1'
_symmetry_Int_Tables_number 1
loop_
_symmetry_equiv_pos_as_xyz
'x,y,z'
loop_
_atom_site_label
_atom_site_type_symbol
_atom_site_fract_x
_atom_site_fract_y
_atom_site_fract_z
Dy1 Dy 0.1494 0.8506 0.7500
Dy2 Dy 0.8506 0.1494 0.2500
Er1 Er 0.0486 0.9514 0.2500
Er2 Er 0.2501 0.7499 0.2500
Er3 Er 0.4480 0.5520 0.2500
Er4 Er 0.5520 0.4480 0.7500
Er5 Er 0.7499 0.2501 0.7500
Er6 Er 0.9514 0.0486 0.7500
In1 In 0.3479 0.6521 0.7500
In2 In 0.6521 0.3479 0.2500
```

Record 2
Material: TiNb2TcPb
Method: DFT, PBE
State: optimized geometry

Calculated values
Its symmetry is P4/mmm (123). Its density is 7.56 g cm⁻³. The density of states at the Fermi level is 3.30 states/eV per atom. The value obtained for the spin magnetization is 0.00 Bohr magnetons per cell. The formation energy is 1.14 eV/atom.

```
data_TiNb2TcPb
_cell_length_a 4.7907
_cell_length_b 4.7907
_cell_length_c 5.1547
_cell_angle_alpha 90.00
_cell_angle_beta 90.00
_cell_angle_gamma 90.00
_symmetry_space_group_name_H-M 'P 1'
_symmetry_Int_Tables_number 1
loop_
_symmetry_equiv_pos_as_xyz
'x,y,z'
loop_
_atom_site_label
_atom_site_type_symbol
_atom_site_fract_x
_atom_site_fract_y
_atom_site_fract_z
Ti1 Ti 0.0000 0.0000 0.0000
Nb1 Nb 0.0000 0.5000 0.5000
Nb2 Nb 0.5000 0.0000 0.5000
Tc1 Tc 0.5000 0.5000 0.5000
Pb1 Pb 0.5000 0.5000 0.0000
```

Record 3
Material: SrLiSeCl
Method: DFT, PBE
State: optimized geometry

Calculated values
Its symmetry is R-3m (166). Its density is 3.16 g cm⁻³. The density of states at the Fermi level is 0.00 states/eV per atom. The final energy comes out at -4.131 eV per atom. The value obtained for the spin magnetization is 0.00 Bohr magnetons per cell.

```
data_SrLiSeCl
_cell_length_a 13.3364
_cell_length_b 13.3364
_cell_length_c 13.3364
_cell_angle_alpha 19.00
_cell_angle_beta 19.00
_cell_angle_gamma 19.00
_symmetry_space_group_name_H-M 'P 1'
_symmetry_Int_Tables_number 1
loop_
_symmetry_equiv_pos_as_xyz
'x,y,z'
loop_
_atom_site_label
_atom_site_type_symbol
_atom_site_fract_x
_atom_site_fract_y
_atom_site_fract_z
Sr1 Sr 0.0911 0.0911 0.0911
Sr2 Sr 0.9089 0.9089 0.9089
Li1 Li 0.3113 0.3113 0.3113
Li2 Li 0.6887 0.6887 0.6887
Se1 Se 0.3772 0.3772 0.3772
Se2 Se 0.6228 0.6228 0.6228
Cl1 Cl 0.2064 0.2064 0.2064
Cl2 Cl 0.7936 0.7936 0.7936
```

Record 4
Material: PuTh2Ge
Method: DFT, PBE
State: optimized geometry

Calculated values
Its symmetry is P4/mmm (123). Its density is 12.14 g cm⁻³. The density of states at the Fermi level is 2.14 states/eV per atom. The value obtained for the spin magnetization is 6.34 Bohr magnetons per cell. The formation energy is -0.21 eV/atom.

```
data_PuTh2Ge
_cell_length_a 3.9052
_cell_length_b 3.9052
_cell_length_c 7.0004
_cell_angle_alpha 90.00
_cell_angle_beta 90.00
_cell_angle_gamma 90.00
_symmetry_space_group_name_H-M 'P 1'
_symmetry_Int_Tables_number 1
loop_
_symmetry_equiv_pos_as_xyz
'x,y,z'
loop_
_atom_site_label
_atom_site_type_symbol
_atom_site_fract_x
_atom_site_fract_y
_atom_site_fract_z
Pu1 Pu 0.0000 0.0000 0.0000
Th1 Th 0.5000 0.5000 0.2704
Th2 Th 0.5000 0.5000 0.7296
Ge1 Ge 0.0000 0.0000 0.5000
```

Record 5
Material: Sr2CdSi
Method: DFT, PBE
State: optimized geometry

Calculated values
Its symmetry is Pmm2 (25). Its density is 3.78 g cm⁻³. The density of states at the Fermi level is 0.70 states/eV per atom. The final energy comes out at -2.452 eV per atom. The value obtained for the spin magnetization is 0.00 Bohr magnetons per cell.

```
data_Sr2CdSi
_cell_length_a 3.9954
_cell_length_b 5.2894
_cell_length_c 6.5605
_cell_angle_alpha 90.00
_cell_angle_beta 90.00
_cell_angle_gamma 90.00
_symmetry_space_group_name_H-M 'P 1'
_symmetry_Int_Tables_number 1
loop_
_symmetry_equiv_pos_as_xyz
'x,y,z'
loop_
_atom_site_label
_atom_site_type_symbol
_atom_site_fract_x
_atom_site_fract_y
_atom_site_fract_z
Sr1 Sr 0.0000 0.0000 0.0000
Sr2 Sr 0.5000 0.5000 0.4595
Cd1 Cd 0.0000 0.0000 0.5093
Si1 Si 0.5000 0.5000 0.9581
```

Record 6
Material: Dy5HgAu2
Method: DFT, PBE
State: optimized geometry

Calculated values
Its symmetry is I4/mcm (140). Its density is 11.05 g cm⁻³. The density of states at the Fermi level is 1.34 states/eV per atom. The value obtained for the spin magnetization is 0.00 Bohr magnetons per cell. The formation energy is -0.56 eV/atom.

```
data_Dy5HgAu2
_cell_length_a 8.6263
_cell_length_b 8.6263
_cell_length_c 8.6263
_cell_angle_alpha 124.02
_cell_angle_beta 124.02
_cell_angle_gamma 83.16
_symmetry_space_group_name_H-M 'P 1'
_symmetry_Int_Tables_number 1
loop_
_symmetry_equiv_pos_as_xyz
'x,y,z'
loop_
_atom_site_label
_atom_site_type_symbol
_atom_site_fract_x
_atom_site_fract_y
_atom_site_fract_z
Dy1 Dy 0.0000 0.0000 0.0000
Dy2 Dy 0.0126 0.5126 0.8136
Dy3 Dy 0.1990 0.0126 0.5000
Dy4 Dy 0.3010 0.8010 0.8136
Dy5 Dy 0.4874 0.3010 0.5000
Dy6 Dy 0.5000 0.5000 0.0000
Dy7 Dy 0.5126 0.6990 0.5000
Dy8 Dy 0.6990 0.1990 0.1864
Dy9 Dy 0.8010 0.9874 0.5000
Dy10 Dy 0.9874 0.4874 0.1864
Hg1 Hg 0.2500 0.2500 0.0000
Hg2 Hg 0.7500 0.7500 0.0000
Au1 Au 0.1357 0.3643 0.5000
Au2 Au 0.3643 0.8643 0.2285
Au3 Au 0.6357 0.1357 0.7715
Au4 Au 0.8643 0.6357 0.5000
```